[1]
The following is a DFT calculation (PBE) of a geometry-optimized ZrTlAs2 structure.

POSCAR file:
```
ZrTlAs2
1.0
-2.1802 0.7246 2.3659
0.1912 -3.2915 0.0759
6.5905 0.5191 5.9142
Tl As Zr
1 2 1
direct
0.5000 0.5000 0.2500
0.0000 0.0000 0.9564
0.0000 0.0000 0.5436
0.5000 0.5000 0.7500
```

Summary:
Energy above the most stable polymorph in this dataset: 101 meV/atom
E_form: -377 meV/atom
Volume: 94 Å³/cell

[2]
The following is a DFT calculation (PBE) of a geometry-optimized ZrTlAs2 structure.

POSCAR file:
```
ZrTlAs2
1.0
-0.1953 -4.9207 -0.7214
4.2003 -2.6678 -0.1088
1.0719 -3.1075 3.7371
Tl As Zr
1 2 1
direct
0.5000 0.5000 0.5000
0.0000 0.0000 0.0000
0.2500 0.2500 0.2500
0.7500 0.7500 0.7500
```

Summary:
Energy above the most stable polymorph in this dataset: 659 meV/atom
E_form: 181 meV/atom
Volume: 87 Å³/cell

[3]
The following is a DFT calculation (PBE) of a geometry-optimized ZrTlAs2 structure.

POSCAR file:
```
ZrTlAs2
1.0
-7.5328 0.3948 0.0793
-5.7303 0.0246 -4.9060
6.4439 -2.8446 2.6999
Tl As Zr
1 2 1
direct
0.5435 0.5435 0.0000
0.9325 0.9325 0.0000
0.2349 0.7349 0.5000
0.7890 0.2890 0.5000
```

Summary:
Energy above the most stable polymorph in this dataset: 125 meV/atom
E_form: -354 meV/atom
Volume: 100 Å³/cell

[4]
The following is a DFT calculation (PBE) of a geometry-optimized ZrTlAs structure.

POSCAR file:
```
ZrTlAs
1.0
3.3042 0.0000 0.0000
-1.6521 2.8615 0.0000
0.0000 0.0000 7.3090
Tl As Zr
1 1 1
direct
0.6667 0.3333 0.3362
0.0000 0.0000 0.9751
0.3333 0.6667 0.6887
```

Summary:
Energy above the most stable polymorph in this dataset: 338 meV/atom
E_form: -54 meV/atom
Volume: 69 Å³/cell

[5]
The following is a DFT calculation (PBE) of a geometry-optimized ZrTlAs2 structure.

POSCAR file:
```
ZrTlAs2
1.0
-2.8502 1.8893 -6.7605
-4.5484 -1.1662 -5.9456
-2.6127 1.8856 1.6256
Tl As Zr
1 2 1
direct
0.4481 0.4481 0.6255
0.0945 0.0945 0.1252
0.2724 0.2724 0.1245
0.6850 0.6850 0.6248
```

Summary:
Energy above the most stable polymorph in this dataset: 32 meV/atom
E_form: -447 meV/atom
Volume: 95 Å³/cell

[6]
The following is a DFT calculation (PBE) of a geometry-optimized ZrTlAs2 structure.

POSCAR file:
```
ZrTlAs2
1.0
-0.4613 5.1118 1.6128
-4.9853 0.5532 1.9455
4.3501 -3.0071 0.9890
Tl As Zr
1 2 1
direct
0.2500 0.7500 0.5000
0.9920 0.9920 0.0000
0.5080 0.5080 0.0000
0.7500 0.2500 0.5000
```

Summary:
Energy above the most stable polymorph in this dataset: 369 meV/atom
E_form: -110 meV/atom
Volume: 86 Å³/cell

[7]
The following is a DFT calculation (PBE) of a geometry-optimized ZrTl3As structure.

POSCAR file:
```
ZrTl3As
1.0
5.3959 0.0000 0.0000
0.0000 5.3959 0.0000
0.0000 0.0000 5.3959
Tl As Zr
3 1 1
direct
0.0000 0.5000 0.0000
0.0000 0.0000 0.5000
0.5000 0.0000 0.0000
0.0000 0.0000 0.0000
0.5000 0.5000 0.5000
```

Summary:
Energy above the most stable polymorph in this dataset: 39 meV/atom
E_form: 850 meV/atom
Volume: 157 Å³/cell

[8]
The following is a DFT calculation (PBE) of a geometry-optimized ZrTlAs2 structure.

POSCAR file:
```
ZrTlAs2
1.0
3.2711 0.0213 0.0000
-0.8411 3.1612 0.0000
0.0000 0.0000 8.7583
Tl As Zr
1 2 1
direct
0.0000 0.0000 0.4994
0.0000 0.0000 0.9703
0.5000 0.5000 0.2593
0.5000 0.5000 0.7710
```

Summary:
Energy above the most stable polymorph in this dataset: 517 meV/atom
E_form: 38 meV/atom
Volume: 91 Å³/cell

D(E_F)
In order: 0.6046; 0.5389; 0.5501; 1.0398; 0.5513; 0.5548; 1.2317; 0.4931
Unit: states/eV per atom